Record 1
# Ti3NbTe (PBE, relaxed)
# ΔE to the lowest computed polymorph = 978 meV per atom
# Formation energy from raw total energies = 0.937 eV per atom
data_Ti3NbTe
_chemical_formula_sum 'Ti3 Nb1 Te1'
_symmetry_space_group_name_H-M 'P m -3 m'
_symmetry_Int_Tables_number 221
_symmetry_space_group_name_Hall '-P 4 2 3'
_cell_length_a 4.8846
_cell_length_b 4.8846
_cell_length_c 4.8846
_cell_angle_alpha 90.00
_cell_angle_beta 90.00
_cell_angle_gamma 90.00
loop_
_atom_site_label
_atom_site_type_symbol
_atom_site_fract_x
_atom_site_fract_y
_atom_site_fract_z
_atom_site_occupancy
Ti1 Ti 0.0000 0.0000 0.5000 1
Nb1 Nb 0.5000 0.5000 0.5000 1
Te1 Te 0.0000 0.0000 0.0000 1

Record 2
# NpBeIrN (PBE, relaxed)
# Formation energy from raw total energies = -0.743 eV per atom
data_NpBeIrN
_chemical_formula_sum 'Np2 Be2 Ir2 N2'
_symmetry_space_group_name_H-M 'P 4/n m m'
_symmetry_Int_Tables_number 129
_cell_length_a 3.7236
_cell_length_b 3.7236
_cell_length_c 7.8723
_cell_angle_alpha 90.00
_cell_angle_beta 90.00
_cell_angle_gamma 90.00
loop_
_symmetry_equiv_pos_as_xyz
'x,y,z'
'-x,-y,-z'
'-y+1/2,x,z'
'y+1/2,-x,-z'
'-x+1/2,-y+1/2,z'
'x+1/2,y+1/2,-z'
'y,-x+1/2,z'
'-y,x+1/2,-z'
'x+1/2,-y,-z'
'-x+1/2,y,z'
'-y,-x,-z'
'y,x,z'
'-x,y+1/2,-z'
'x,-y+1/2,z'
'y+1/2,x+1/2,-z'
'-y+1/2,-x+1/2,z'
loop_
_atom_site_label
_atom_site_type_symbol
_atom_site_fract_x
_atom_site_fract_y
_atom_site_fract_z
_atom_site_occupancy
Np1 Np 0.2500 0.2500 0.1627 1
Be1 Be 0.2500 0.2500 0.6743 1
Ir1 Ir 0.2500 0.7500 0.5000 1
N1 N 0.2500 0.2500 0.8808 1

Record 3
# RuPt2Se (PBE, relaxed)
# Formation energy from raw total energies = 0.270 eV per atom
data_RuPt2Se
_chemical_formula_sum 'Ru1 Pt2 Se1'
_symmetry_space_group_name_H-M 'P 1 2/m 1'
_symmetry_Int_Tables_number 10
_cell_length_a 4.5936
_cell_length_b 2.9619
_cell_length_c 4.8199
_cell_angle_alpha 90.00
_cell_angle_beta 106.06
_cell_angle_gamma 90.00
loop_
_symmetry_equiv_pos_as_xyz
'x,y,z'
'-x,-y,-z'
'-x,y,-z'
'x,-y,z'
loop_
_atom_site_label
_atom_site_type_symbol
_atom_site_fract_x
_atom_site_fract_y
_atom_site_fract_z
_atom_site_occupancy
Ru1 Ru 0.0000 0.0000 0.0000 1
Pt1 Pt 0.0000 0.5000 0.5000 1
Pt2 Pt 0.5000 0.0000 0.5000 1
Se1 Se 0.5000 0.5000 0.0000 1

Record 4
# CrAgP2 (PBE, relaxed)
# ΔE to the lowest computed polymorph = 72 meV per atom
# ΔE_f = 0.1 eV/f.u.
data_CrAgP2
_chemical_formula_sum 'Cr2 Ag2 P4'
_symmetry_space_group_name_H-M 'C 1 m 1'
_symmetry_Int_Tables_number 8
_cell_length_a 7.5081
_cell_length_b 3.0741
_cell_length_c 5.9482
_cell_angle_alpha 90.00
_cell_angle_beta 117.32
_cell_angle_gamma 90.00
loop_
_symmetry_equiv_pos_as_xyz
'x,y,z'
'x,-y,z'
'x+1/2,y+1/2,z'
'x+1/2,-y+1/2,z'
loop_
_atom_site_label
_atom_site_type_symbol
_atom_site_fract_x
_atom_site_fract_y
_atom_site_fract_z
_atom_site_occupancy
Cr1 Cr 0.0000 0.0000 0.0000 1
Ag1 Ag 0.2351 0.5000 0.4699 1
P1 P 0.1313 0.5000 0.8189 1
P2 P 0.3428 0.0000 0.1455 1

Number 1: mass density 5.19 Mg/m³. Number 2: mass density 13.76 Mg/m³. Number 3: mass density 15.02 Mg/m³. Number 4: mass density 6.04 Mg/m³.